{
  "formula": "Tl3TePb2Se6",
  "functional": "PBE",
  "state": "optimized geometry",
  "cell": [[3.765, -6.501, 0.000], [3.765, 6.501, 0.000], [-2.503, 0.000, 7.273]],
  "species": ["Tl", "Tl", "Tl", "Te", "Pb", "Pb", "Se", "Se", "Se", "Se", "Se", "Se"],
  "frac_coords": [[0.000, 0.000, 0.000], [0.324, 0.676, 0.000], [0.676, 0.324, 0.000], [0.500, 0.500, 0.500], [0.165, 0.835, 0.500], [0.835, 0.165, 0.500], [0.112, 0.424, 0.275], [0.267, 0.267, 0.737], [0.424, 0.112, 0.275], [0.576, 0.888, 0.725], [0.733, 0.733, 0.263], [0.888, 0.576, 0.725]],
  "crystal_system": "monoclinic",
  "magnetic_moment_mub_per_fu": 0.00,
  "space_group": "No. 12",
  "final_energy_ry_per_atom": -0.2612,
  "n_ef_per_ev_cell": 6.3
}